Density functional theory data (GGA-PBE) for a relaxed Zn2BiAu10 crystal.

It has space group Fmmm (No. 69), with a = 5.6027 Å, b = 12.9613 Å, c = 13.6097 Å, α = 90.00°, β = 90.00° and γ = 90.00°. Symmetry generates all atoms from Zn at (0.2500, 0.2500, 0.0000), Bi at (0.0000, 0.0000, 0.0000), Au at (0.0000, 0.1118, 0.3960), Au at (0.0000, 0.1768, 0.1646) and Au at (0.2500, 0.0000, 0.2500).

Its crystal system is orthorhombic. The calculation puts the magnetization at 0.0000 μB/atom. The formation energy comes out at -0.03 eV per atom.